The following is a GGA+U calculation of a relaxed structure of Mo2SeO, from Alexandria via LeMat-Bulk.

Computed properties:
The value obtained for the size of the total moment is 3.99 μB/f.u. The calculation puts the volume at 58 Å³/cell. The density comes out at 8266 kg/m³. As for the space-group type: Fm-3m (225). Its total energy is -5.14 eV per atom.

Geometry as extended XYZ:
```
4
Lattice="0.0000 3.0656 3.0656 3.0656 0.0000 3.0656 3.0656 3.0656 0.0000" Properties=species:S:1:pos:R:3 pbc="T T T"
Mo 1.5328 1.5328 1.5328
Mo 4.5984 4.5984 4.5984
Se 0.0000 0.0000 0.0000
O 3.0656 3.0656 3.0656
```